[1]
{
  "formula": "TbPrCd2As4",
  "functional": "PBE",
  "state": "relaxed",
  "crystal_system": "tetragonal",
  "lattice_angstrom": [[-1.8640, -3.0764, -2.0061], [3.5392, -0.9036, -1.9028], [2.5253, -6.6535, 7.8567]],
  "species": ["As", "Pr", "Cd", "Tb", "Cd", "As", "As", "As"],
  "frac_coords": [[0.0000, 0.5000, 0.0080], [0.0000, 0.0000, 0.7869], [0.5000, 0.0000, 0.4955], [0.5000, 0.5000, 0.2167], [0.0000, 0.5000, 0.4955], [0.0000, 0.0000, 0.2922], [0.5000, 0.0000, 0.0080], [0.5000, 0.5000, 0.6972]]
}

=====

[2]
{
  "formula": "CdAsPt2",
  "functional": "PBE",
  "state": "relaxed",
  "crystal_system": "cubic",
  "lattice_angstrom": [[0.0000, 3.2687, 3.2687], [3.2687, 0.0000, 3.2687], [3.2687, 3.2687, 0.0000]],
  "species": ["Pt", "Cd", "As", "Pt"],
  "frac_coords": [[0.7500, 0.7500, 0.7500], [0.2500, 0.2500, 0.2500], [0.5000, 0.5000, 0.5000], [0.0000, 0.0000, 0.0000]]
}

=====

[3]
{
  "formula": "CdAs2Pt",
  "functional": "PBE",
  "state": "relaxed",
  "crystal_system": "cubic",
  "lattice_angstrom": [[2.4645, -2.8883, 2.8419], [-2.0938, -1.9679, 3.7731], [-0.9311, -4.6502, 0.0387]],
  "species": ["As", "Pt", "Cd", "As"],
  "frac_coords": [[0.5000, 0.5000, 0.5000], [0.0000, 0.0000, 0.0000], [0.7500, 0.7500, 0.7500], [0.2500, 0.2500, 0.2500]]
}

=====

[4]
{
  "formula": "Rb2Cd5As4",
  "functional": "PBE",
  "state": "relaxed",
  "crystal_system": "orthorhombic",
  "lattice_angstrom": [[6.2697, -3.8365, 0.0000], [6.2697, 3.8365, 0.0000], [0.0000, 0.0000, 12.6035]],
  "species": ["Rb", "As", "As", "Cd", "Cd", "As", "Cd", "As", "Cd", "Cd", "As", "Rb", "Cd", "As", "Cd", "As", "Cd", "Cd", "Rb", "Rb", "Cd", "As"],
  "frac_coords": [[0.7081, 0.7081, 0.0000], [0.7741, 0.2259, 0.9001], [0.2259, 0.7741, 0.0999], [0.9710, 0.7351, 0.2500], [0.1501, 0.8499, 0.6057], [0.2259, 0.7741, 0.4001], [0.4938, 0.5062, 0.2500], [0.0962, 0.5909, 0.7500], [0.8499, 0.1501, 0.3943], [0.1501, 0.8499, 0.8943], [0.7741, 0.2259, 0.5999], [0.7081, 0.7081, 0.5000], [0.0290, 0.2649, 0.7500], [0.9038, 0.4091, 0.2500], [0.8499, 0.1501, 0.1057], [0.5909, 0.0962, 0.2500], [0.7351, 0.9710, 0.7500], [0.2649, 0.0290, 0.2500], [0.2919, 0.2919, 0.0000], [0.2919, 0.2919, 0.5000], [0.5062, 0.4938, 0.7500], [0.4091, 0.9038, 0.7500]]
}

=====

[5]
{
  "formula": "Rb2SrCdAs2",
  "functional": "PBE",
  "state": "relaxed",
  "crystal_system": "tetragonal",
  "lattice_angstrom": [[4.9820, 0.0000, 0.0000], [0.0000, 4.9820, 0.0000], [0.0000, 0.0000, 8.2493]],
  "species": ["Cd", "As", "Rb", "Rb", "As", "Sr"],
  "frac_coords": [[0.0000, 0.0000, 0.0000], [0.0000, 0.5000, 0.2032], [0.5000, 0.0000, 0.3616], [0.0000, 0.5000, 0.6384], [0.5000, 0.0000, 0.7968], [0.5000, 0.5000, 0.0000]]
}

=====

[6]
{
  "formula": "CdReAs2",
  "functional": "PBE",
  "state": "relaxed",
  "crystal_system": "cubic",
  "lattice_angstrom": [[-3.6114, -0.4777, 2.8819], [-1.6309, 3.6848, 2.3105], [-4.1269, 1.8087, -1.1284]],
  "species": ["As", "Re", "Cd", "As"],
  "frac_coords": [[0.0000, 0.0000, 0.0000], [0.7500, 0.7500, 0.7500], [0.5000, 0.5000, 0.5000], [0.2500, 0.2500, 0.2500]]
}

=====

[7]
{
  "formula": "CdReAs",
  "functional": "PBE",
  "state": "relaxed",
  "crystal_system": "cubic",
  "lattice_angstrom": [[-3.0392, -2.6922, -1.4499], [-4.0254, 0.2741, 1.5191], [-3.1623, 1.4800, -2.5291]],
  "species": ["Re", "As", "Cd"],
  "frac_coords": [[0.7500, 0.7500, 0.7500], [0.0000, 0.0000, 0.0000], [0.2500, 0.2500, 0.2500]]
}

=====

[8]
{
  "formula": "ZnCdRe2As4",
  "functional": "PBE",
  "state": "relaxed",
  "crystal_system": "tetragonal",
  "lattice_angstrom": [[0.0924, -4.7431, -5.1489], [4.9611, -4.7051, 1.5053], [-5.2982, 2.4547, 3.8626]],
  "species": ["Cd", "As", "As", "As", "As", "Re", "Zn", "Re"],
  "frac_coords": [[0.0000, 0.0000, 0.0000], [0.1318, 0.5819, 0.9781], [0.4181, 0.3962, 0.5499], [0.6038, 0.1537, 0.0219], [0.8463, 0.8682, 0.4501], [0.7500, 0.2500, 0.5000], [0.2500, 0.7500, 0.5000], [0.5000, 0.5000, 0.0000]]
}

=====

[9]
{
  "formula": "CdSb2As2",
  "functional": "PBE",
  "state": "relaxed",
  "crystal_system": "orthorhombic",
  "lattice_angstrom": [[-9.3068, 5.1148, 1.7174], [6.6404, -8.1617, -2.2402], [0.3508, -1.2948, 5.7569]],
  "species": ["As", "As", "Cd", "Sb", "Sb", "Sb", "As", "As", "Cd", "Sb"],
  "frac_coords": [[0.4972, 0.5028, 0.5870], [0.7031, 0.2969, 0.0721], [0.0963, 0.9037, 0.5796], [0.9081, 0.0919, 0.5769], [0.2933, 0.7067, 0.0269], [0.7067, 0.2933, 0.5269], [0.5028, 0.4972, 0.0870], [0.2969, 0.7031, 0.5721], [0.9037, 0.0963, 0.0796], [0.0919, 0.9081, 0.0769]]
}

=====

[10]
{
  "formula": "Sm2CdSbAs",
  "functional": "PBE",
  "state": "relaxed",
  "crystal_system": "orthorhombic",
  "lattice_angstrom": [[-4.9741, 0.7288, -8.2076], [3.7514, -4.8396, 7.4258], [-5.4791, 0.9816, 3.4077]],
  "species": ["Sm", "As", "Sm", "Cd", "Sm", "Sm", "Sb", "Cd", "Sb", "As"],
  "frac_coords": [[0.2071, 0.7929, 0.4154], [0.1842, 0.8158, 0.9157], [0.9841, 0.0159, 0.2601], [0.6058, 0.3942, 0.0448], [0.0159, 0.9841, 0.7601], [0.7929, 0.2071, 0.9154], [0.4089, 0.5911, 0.9881], [0.3942, 0.6058, 0.5448], [0.5911, 0.4089, 0.4881], [0.8158, 0.1842, 0.4157]]
}

=====

[11]
{
  "formula": "Cd2Sn2SbAs3",
  "functional": "PBE",
  "state": "relaxed",
  "crystal_system": "monoclinic",
  "lattice_angstrom": [[6.9005, -3.1507, 0.0000], [6.9005, 3.1507, 0.0000], [-2.8281, 0.0000, 5.6408]],
  "species": ["Sn", "Cd", "As", "As", "Sb", "As", "Sn", "Cd"],
  "frac_coords": [[0.2569, 0.4857, 0.6103], [0.9926, 0.2672, 0.8687], [0.8764, 0.6239, 0.2536], [0.6270, 0.3730, 0.5000], [0.1240, 0.8760, 0.0000], [0.3761, 0.1236, 0.7464], [0.5143, 0.7431, 0.3897], [0.7328, 0.0074, 0.1313]]
}

=====

[12]
{
  "formula": "CdSnSbAs",
  "functional": "PBE",
  "state": "relaxed",
  "crystal_system": "orthorhombic",
  "lattice_angstrom": [[-3.1937, 3.2102, 6.2825], [3.1937, -3.2102, 6.2825], [3.1937, 3.2102, -6.2825]],
  "species": ["Sb", "Sn", "As", "Cd", "Cd", "Sn", "As", "Sb"],
  "frac_coords": [[0.2500, 0.4910, 0.2410], [0.1311, 0.8811, 0.2500], [0.0068, 0.7500, 0.7568], [0.6375, 0.3875, 0.2500], [0.8625, 0.1125, 0.7500], [0.3689, 0.6189, 0.7500], [0.4932, 0.2500, 0.7432], [0.7500, 0.0090, 0.2590]]
}

=====

[13]
{
  "formula": "CdSnSbAs",
  "functional": "PBE",
  "state": "relaxed",
  "crystal_system": "monoclinic",
  "lattice_angstrom": [[4.5323, -4.5330, 0.0000], [4.5323, 4.5330, 0.0000], [-4.4832, 0.0000, 6.2631]],
  "species": ["Sb", "As", "Sb", "Sn", "Cd", "Cd", "As", "Sn"],
  "frac_coords": [[0.3750, 0.1252, 0.2500], [0.6242, 0.8749, 0.7501], [0.1252, 0.3750, 0.7500], [0.7505, 0.9771, 0.5000], [0.5225, 0.2508, 0.0000], [0.2508, 0.5225, 0.5000], [0.8749, 0.6242, 0.2501], [0.9771, 0.7505, 0.0000]]
}

=====

[14]
{
  "formula": "Sr2CdSbAs",
  "functional": "PBE",
  "state": "relaxed",
  "crystal_system": "orthorhombic",
  "lattice_angstrom": [[-3.3876, 6.3944, -5.8945], [-1.2006, -6.5458, 6.5437], [0.5802, 5.2067, 5.3148]],
  "species": ["Sr", "Cd", "Cd", "Sr", "Sb", "As", "Sb", "Sr", "Sr", "As"],
  "frac_coords": [[0.4764, 0.5236, 0.2696], [0.9038, 0.0962, 0.9257], [0.0962, 0.9038, 0.4257], [0.3080, 0.6920, 0.5756], [0.6763, 0.3237, 0.5384], [0.9393, 0.0607, 0.5563], [0.3237, 0.6763, 0.0384], [0.6920, 0.3080, 0.0756], [0.5236, 0.4764, 0.7696], [0.0607, 0.9393, 0.0563]]
}

=====

[15]
{
  "formula": "Cd3As4Se",
  "functional": "PBE",
  "state": "relaxed",
  "crystal_system": "tetragonal",
  "lattice_angstrom": [[3.1875, -0.9947, 6.0274], [2.8178, 5.9022, 2.1686], [-6.3466, -1.5612, -2.1823]],
  "species": ["Se", "Cd", "Cd", "As", "Cd", "As", "As", "As"],
  "frac_coords": [[0.0000, 0.0000, 0.0000], [0.7500, 0.2500, 0.5000], [0.2500, 0.7500, 0.5000], [0.2411, 0.2411, 0.0000], [0.5000, 0.5000, 0.0000], [0.7589, 0.7589, 0.0000], [0.5000, 0.0000, 0.5000], [0.0000, 0.5000, 0.5000]]
}

=====

[16]
{
  "formula": "CdSi2As",
  "functional": "PBE",
  "state": "relaxed",
  "crystal_system": "cubic",
  "lattice_angstrom": [[0.0000, 3.3306, 3.3306], [3.3306, 0.0000, 3.3306], [3.3306, 3.3306, 0.0000]],
  "species": ["As", "Si", "Cd", "Si"],
  "frac_coords": [[0.7500, 0.7500, 0.7500], [0.0000, 0.0000, 0.0000], [0.5000, 0.5000, 0.5000], [0.2500, 0.2500, 0.2500]]
}

=====

[17]
{
  "formula": "CdSiAs2",
  "functional": "PBE",
  "state": "relaxed",
  "crystal_system": "cubic",
  "lattice_angstrom": [[-2.6575, -3.3205, -2.2256], [-3.1914, -2.5825, 2.4873], [-4.7007, 0.7257, -0.6462]],
  "species": ["As", "Si", "As", "Cd"],
  "frac_coords": [[0.2500, 0.2500, 0.2500], [0.0000, 0.0000, 0.0000], [0.5000, 0.5000, 0.5000], [0.7500, 0.7500, 0.7500]]
}

=====

[18]
{
  "formula": "Cd2SiAs4W",
  "functional": "PBE",
  "state": "relaxed",
  "crystal_system": "tetragonal",
  "lattice_angstrom": [[-3.8480, -4.8976, 3.3967], [1.3999, 0.7875, 6.9102], [-1.9897, 4.8136, -4.8168]],
  "species": ["W", "As", "As", "Si", "As", "Cd", "Cd", "As"],
  "frac_coords": [[0.7500, 0.2500, 0.5000], [0.6656, 0.1223, 0.0384], [0.8777, 0.9161, 0.5433], [0.0000, 0.0000, 0.0000], [0.3728, 0.3345, 0.4567], [0.2500, 0.7500, 0.5000], [0.5000, 0.5000, 0.0000], [0.0839, 0.6272, 0.9616]]
}

=====

[19]
{
  "formula": "Sr2CdAs",
  "functional": "PBE",
  "state": "relaxed",
  "crystal_system": "cubic",
  "lattice_angstrom": [[2.6170, -3.4987, -3.4388], [3.4658, -3.8364, 2.0457], [-1.4231, -5.3738, -0.1106]],
  "species": ["Sr", "Cd", "Sr", "As"],
  "frac_coords": [[0.0000, 0.0000, 0.0000], [0.5000, 0.5000, 0.5000], [0.2500, 0.2500, 0.2500], [0.7500, 0.7500, 0.7500]]
}

=====

[20]
{
  "formula": "SrCdAs2",
  "functional": "PBE",
  "state": "relaxed",
  "crystal_system": "cubic",
  "lattice_angstrom": [[0.0000, 3.6587, 3.6587], [3.6587, 0.0000, 3.6587], [3.6587, 3.6587, 0.0000]],
  "species": ["Sr", "As", "As", "Cd"],
  "frac_coords": [[0.0000, 0.0000, 0.0000], [0.2500, 0.2500, 0.2500], [0.5000, 0.5000, 0.5000], [0.7500, 0.7500, 0.7500]]
}

=====

| no. | total energy (Ry/atom) |
| --- | --- |
| 1 | -0.3235 |
| 2 | -0.3209 |
| 3 | -0.2834 |
| 4 | -0.1894 |
| 5 | -0.2154 |
| 6 | -0.3482 |
| 7 | -0.3778 |
| 8 | -0.3913 |
| 9 | -0.2675 |
| 10 | -0.3391 |
| 11 | -0.2640 |
| 12 | -0.2568 |
| 13 | -0.2575 |
| 14 | -0.2577 |
| 15 | -0.2191 |
| 16 | -0.2605 |
| 17 | -0.2517 |
| 18 | -0.3460 |
| 19 | -0.1772 |
| 20 | -0.2286 |